#a
Density functional theory data (PBE) for a geometry-optimized TlVSb2I structure.

a b c (Å): 5.636 5.636 6.011
angles (deg): 90.00 90.00 90.00
Space group P4/mmm (No. 123)
Unique sites:
Tl1 0.000 0.000 0.000
V1 0.500 0.500 0.500
Sb1 0.000 0.500 0.000
I1 0.000 0.000 0.500

Computed properties:
Mass density: 5.44 g cm⁻³
Total moment: 0.010 Bohr magnetons per cell

***

#b
Density functional theory data (PBE) for a geometry-optimized TlVSb2I structure.

a b c (Å): 5.112 5.112 6.200
angles (deg): 90.00 90.00 90.00
Space group P4/mmm (No. 123)
Unique sites:
Tl1 0.000 0.000 0.000
V1 0.500 0.500 0.500
Sb1 0.000 0.500 0.500
I1 0.500 0.500 0.000

Computed properties:
Mass density: 6.41 g cm⁻³
Total moment: 0.794 Bohr magnetons per cell

***

Name the least stable of them. #a.

***

#a
Density functional theory data (PBE) for a geometry-optimized TmSbI structure.

a b c (Å): 23.025 4.641 8.746
angles (deg): 90.00 94.23 90.00
Space group C2/m (No. 12)
Unique sites:
Tm1 0.159 0.000 0.092
Tm2 0.161 0.000 0.617
Sb1 0.244 0.500 0.127
Sb2 0.250 0.000 0.376
I1 0.071 0.000 0.338
I2 0.098 0.500 0.839

Computed properties:
Mass density: 5.95 g cm⁻³
Total moment: 0.000 Bohr magnetons per cell

***

#b
Density functional theory data (PBE) for a geometry-optimized TmSbI structure.

a b c (Å): 5.2417 5.2417 3.6547
angles (deg): 90.00 90.00 120.00
Space group P-6m2 (No. 187)
Unique sites:
Tm1 0.0000 0.0000 0.0000
Sb1 0.6667 0.3333 0.5000
I1 0.3333 0.6667 0.0000

Computed properties:
Mass density: 7.97 g cm⁻³
Total moment: 0.000 Bohr magnetons per cell

***

Name the least stable of them. #b.

***

#a
Density functional theory data (PBE) for a geometry-optimized V2SbI structure.

a b c (Å): 6.215 6.215 12.847
angles (deg): 90.00 90.00 90.00
Space group I-42d (No. 122)
Unique sites:
V1 0.236 0.250 0.125
Sb1 0.000 0.000 0.000
I1 0.000 0.000 0.500

Computed properties:
Mass density: 4.69 g cm⁻³
Total moment: 24.006 Bohr magnetons per cell

***

#b
Density functional theory data (PBE) for a geometry-optimized V2SbI structure.

a b c (Å): 6.705 6.705 6.705
angles (deg): 90.00 90.00 90.00
Space group Fm-3m (No. 225)
Unique sites:
V1 0.250 0.250 0.250
Sb1 0.000 0.000 0.000
I1 0.000 0.000 0.500

Computed properties:
Mass density: 7.72 g cm⁻³
Total moment: 9.594 Bohr magnetons per cell

***

Name the least stable of them. #a.

***

#a
Density functional theory data (PBE) for a geometry-optimized VZnSbI2 structure.

a b c (Å): 5.449 5.449 5.232
angles (deg): 90.00 90.00 90.00
Space group P4/mmm (No. 123)
Unique sites:
V1 0.000 0.000 0.000
Zn1 0.500 0.500 0.500
Sb1 0.000 0.000 0.500
I1 0.000 0.500 0.000

Computed properties:
Mass density: 5.26 g cm⁻³
Total moment: 0.000 Bohr magnetons per cell

***

#b
Density functional theory data (PBE) for a geometry-optimized VZnSbI2 structure.

a b c (Å): 5.452 5.452 5.321
angles (deg): 90.00 90.00 90.00
Space group P4/mmm (No. 123)
Unique sites:
V1 0.000 0.000 0.000
Zn1 0.500 0.500 0.500
Sb1 0.500 0.500 0.000
I1 0.000 0.500 0.500

Computed properties:
Mass density: 5.16 g cm⁻³
Total moment: 0.019 Bohr magnetons per cell

***

Name the least stable of them. #b.

***

#a
Density functional theory data (PBE) for a geometry-optimized VZnSb2I structure.

a b c (Å): 5.061 5.061 5.880
angles (deg): 90.00 90.00 90.00
Space group P4/mmm (No. 123)
Unique sites:
V1 0.000 0.000 0.000
Zn1 0.500 0.500 0.500
Sb1 0.000 0.500 0.000
I1 0.000 0.000 0.500

Computed properties:
Mass density: 5.37 g cm⁻³
Total moment: 0.284 Bohr magnetons per cell

***

#b
Density functional theory data (PBE) for a geometry-optimized VZnSb2I structure.

a b c (Å): 5.102 5.102 5.661
angles (deg): 90.00 90.00 90.00
Space group P4/mmm (No. 123)
Unique sites:
V1 0.000 0.000 0.000
Zn1 0.500 0.500 0.500
Sb1 0.000 0.500 0.500
I1 0.500 0.500 0.000

Computed properties:
Mass density: 5.49 g cm⁻³
Total moment: 0.015 Bohr magnetons per cell

***

Name the least stable of them. #b.

***

#a
Density functional theory data (PBE) for a geometry-optimized YSbWI2 structure.

a b c (Å): 5.788 5.788 6.215
angles (deg): 90.00 90.00 90.00
Space group P4/mmm (No. 123)
Unique sites:
Y1 0.000 0.000 0.000
Sb1 0.000 0.000 0.500
W1 0.500 0.500 0.500
I1 0.000 0.500 0.000

Computed properties:
Mass density: 5.17 g cm⁻³
Total moment: 4.022 Bohr magnetons per cell

***

#b
Density functional theory data (PBE) for a geometry-optimized YSbWI2 structure.

a b c (Å): 5.460 5.460 5.380
angles (deg): 90.00 90.00 90.00
Space group P4/mmm (No. 123)
Unique sites:
Y1 0.000 0.000 0.000
Sb1 0.500 0.500 0.000
W1 0.500 0.500 0.500
I1 0.000 0.500 0.500

Computed properties:
Mass density: 6.71 g cm⁻³
Total moment: 2.142 Bohr magnetons per cell

***

Name the least stable of them. #a.

***

#a
Density functional theory data (PBE) for a geometry-optimized YSb2WI structure.

a b c (Å): 5.809 5.809 5.614
angles (deg): 90.00 90.00 90.00
Space group P4/mmm (No. 123)
Unique sites:
Y1 0.000 0.000 0.000
Sb1 0.000 0.500 0.000
W1 0.500 0.500 0.500
I1 0.000 0.000 0.500

Computed properties:
Mass density: 5.64 g cm⁻³
Total moment: 0.098 Bohr magnetons per cell

***

#b
Density functional theory data (PBE) for a geometry-optimized YSb2WI structure.

a b c (Å): 5.206 5.206 5.719
angles (deg): 90.00 90.00 90.00
Space group P4/mmm (No. 123)
Unique sites:
Y1 0.000 0.000 0.000
Sb1 0.000 0.500 0.500
W1 0.500 0.500 0.500
I1 0.500 0.500 0.000

Computed properties:
Mass density: 6.89 g cm⁻³
Total moment: 0.548 Bohr magnetons per cell

***

Name the least stable of them. #a.

***

#a
Density functional theory data (PBE) for a geometry-optimized ZnSbWI2 structure.

a b c (Å): 5.620 5.620 5.255
angles (deg): 90.00 90.00 90.00
Space group P4/mmm (No. 123)
Unique sites:
Zn1 0.000 0.000 0.000
Sb1 0.500 0.500 0.000
W1 0.500 0.500 0.500
I1 0.000 0.500 0.500

Computed properties:
Mass density: 6.25 g cm⁻³
Total moment: 0.740 Bohr magnetons per cell

***

#b
Density functional theory data (PBE) for a geometry-optimized ZnSbWI2 structure.

a b c (Å): 5.387 5.387 5.383
angles (deg): 90.00 90.00 90.00
Space group P4/mmm (No. 123)
Unique sites:
Zn1 0.000 0.000 0.000
Sb1 0.000 0.000 0.500
W1 0.500 0.500 0.500
I1 0.000 0.500 0.000

Computed properties:
Mass density: 6.64 g cm⁻³
Total moment: 3.717 Bohr magnetons per cell

***

Name the least stable of them. #b.

***

#a
Density functional theory data (PBE) for a geometry-optimized YSb2I structure.

a b c (Å): 4.547 4.547 24.490
angles (deg): 90.00 90.00 90.00
Space group I-42d (No. 122)
Unique sites:
Y1 0.000 0.000 0.000
Sb1 0.198 0.250 0.125
I1 0.000 0.000 0.500

Computed properties:
Mass density: 6.03 g cm⁻³
Total moment: 0.000 Bohr magnetons per cell

***

#b
Density functional theory data (PBE) for a geometry-optimized YSb2I structure.

a b c (Å): 7.806 7.806 7.806
angles (deg): 90.00 90.00 90.00
Space group Fm-3m (No. 225)
Unique sites:
Y1 0.000 0.000 0.000
Sb1 0.250 0.250 0.250
I1 0.000 0.000 0.500

Computed properties:
Mass density: 6.41 g cm⁻³
Total moment: 0.000 Bohr magnetons per cell

***

Name the least stable of them. #b.

***

#a
Density functional theory data (PBE) for a geometry-optimized YSbI3 structure.

a b c (Å): 6.069 6.069 6.069
angles (deg): 90.00 90.00 90.00
Space group Pm-3m (No. 221)
Unique sites:
Y1 0.000 0.000 0.000
Sb1 0.500 0.500 0.500
I1 0.000 0.000 0.500

Computed properties:
Mass density: 4.39 g cm⁻³
Total moment: 3.000 Bohr magnetons per cell

***

#b
Density functional theory data (PBE) for a geometry-optimized YSbI3 structure.

a b c (Å): 6.047 6.047 6.047
angles (deg): 90.00 90.00 90.00
Space group Pm-3m (No. 221)
Unique sites:
Y1 0.000 0.000 0.000
Sb1 0.500 0.500 0.500
I1 0.000 0.500 0.500

Computed properties:
Mass density: 4.44 g cm⁻³
Total moment: 1.498 Bohr magnetons per cell

***

Name the least stable of them. #b.

***

#a
Density functional theory data (PBE) for a geometry-optimized YSb3I structure.

a b c (Å): 5.823 5.823 5.823
angles (deg): 90.00 90.00 90.00
Space group Pm-3m (No. 221)
Unique sites:
Y1 0.000 0.000 0.000
Sb1 0.000 0.000 0.500
I1 0.500 0.500 0.500

Computed properties:
Mass density: 4.89 g cm⁻³
Total moment: 0.000 Bohr magnetons per cell

***

#b
Density functional theory data (PBE) for a geometry-optimized YSb3I structure.

a b c (Å): 5.664 5.664 5.664
angles (deg): 90.00 90.00 90.00
Space group Pm-3m (No. 221)
Unique sites:
Y1 0.000 0.000 0.000
Sb1 0.000 0.500 0.500
I1 0.500 0.500 0.500

Computed properties:
Mass density: 5.31 g cm⁻³
Total moment: 0.000 Bohr magnetons per cell

***

Name the least stable of them. #b.

***

#a
Density functional theory data (PBE) for a geometry-optimized YZnSb2I structure.

a b c (Å): 5.928 5.928 5.957
angles (deg): 90.00 90.00 90.00
Space group P4/mmm (No. 123)
Unique sites:
Y1 0.000 0.000 0.000
Zn1 0.500 0.500 0.500
Sb1 0.000 0.500 0.000
I1 0.000 0.000 0.500

Computed properties:
Mass density: 4.16 g cm⁻³
Total moment: 1.057 Bohr magnetons per cell

***

#b
Density functional theory data (PBE) for a geometry-optimized YZnSb2I structure.

a b c (Å): 5.132 5.132 5.801
angles (deg): 90.00 90.00 90.00
Space group P4/mmm (No. 123)
Unique sites:
Y1 0.000 0.000 0.000
Zn1 0.500 0.500 0.500
Sb1 0.000 0.500 0.500
I1 0.500 0.500 0.000

Computed properties:
Mass density: 5.70 g cm⁻³
Total moment: 0.000 Bohr magnetons per cell

***

Name the least stable of them. #a.